No. 1
The following is a PBE calculation of a relaxed structure of NdSmTe, from Alexandria via LeMat-Bulk.

Summary:
energy	-5.030	eV/atom
ΔE to the lowest computed polymorph	52.8	meV/atom
energy relative to the elements, uncorrected	-2.5	eV/f.u.
spin magnetization	0.000	μB/atom

a = 4.174 Å, b = 6.223 Å, c = 8.188 Å
α = 90.00°, β = 104.75°, γ = 90.00°
Fractional coordinates of all 6 atoms:
1 Nd 0.646 0.250 0.793
2 Nd 0.354 0.750 0.207
3 Te 0.300 0.250 0.100
4 Te 0.700 0.750 0.900
5 Sm 0.946 0.250 0.393
6 Sm 0.054 0.750 0.607

No. 2
The following is a PBE calculation of a relaxed structure of NiRuAu2, from Alexandria via LeMat-Bulk.

Summary:
energy	-5.002	eV/atom
ΔE to the lowest computed polymorph	206.5	meV/atom
spin magnetization	0.351	μB/atom
calculated formation energy	401	meV per atom

a = 4.726 Å, b = 4.726 Å, c = 2.790 Å
α = 90.00°, β = 90.00°, γ = 90.00°
Fractional coordinates of all 4 atoms:
1 Ni 0.500 0.000 0.500
2 Ru 0.000 0.500 0.500
3 Au 0.000 0.000 0.000
4 Au 0.500 0.500 0.000

No. 3
The following is a PBE calculation of a relaxed structure of CrGeC2S, from Alexandria via LeMat-Bulk.

Summary:
energy	-6.034	eV/atom
energy relative to the elements, uncorrected	6.6	eV/f.u.
spin magnetization	0.000	μB/atom

a = 3.705 Å, b = 5.383 Å, c = 3.705 Å
α = 90.00°, β = 90.00°, γ = 90.00°
Fractional coordinates of all 5 atoms:
1 Ge 0.000 0.500 0.000
2 C 0.500 0.000 0.000
3 C 0.000 0.000 0.500
4 S 0.500 0.500 0.500
5 Cr 0.000 0.000 0.000

No. 4
The following is a PBE calculation of a relaxed structure of La2CoAs, from Alexandria via LeMat-Bulk.

Summary:
energy	-5.982	eV/atom
spin magnetization	0.000	μB/atom
calculated formation energy	-579	meV per atom

a = 4.265 Å, b = 4.265 Å, c = 6.028 Å
α = 90.00°, β = 90.00°, γ = 90.00°
Fractional coordinates of all 4 atoms:
1 Co 0.500 0.500 0.849
2 La 0.000 0.000 0.865
3 La 0.500 0.500 0.421
4 As 0.000 0.000 0.364

No. 5
The following is a PBE calculation of a relaxed structure of Zr2In2Pd3, from Alexandria via LeMat-Bulk.

Summary:
energy	-5.964	eV/atom
spin magnetization	0.000	μB/atom
calculated formation energy	-513	meV per atom

a = 4.708 Å, b = 4.736 Å, c = 7.817 Å
α = 90.06°, β = 107.06°, γ = 120.31°
Fractional coordinates of all 7 atoms:
1 Pd 0.000 0.000 0.000
2 In 0.264 0.132 0.393
3 In 0.736 0.868 0.607
4 Zr 0.231 0.615 0.848
5 Pd 0.514 0.257 0.778
6 Pd 0.486 0.743 0.222
7 Zr 0.769 0.385 0.152

No. 6
The following is a PBE calculation of a relaxed structure of Na3Sc3NbSe8, from Alexandria via LeMat-Bulk.

Summary:
energy	-5.447	eV/atom
energy relative to the elements, uncorrected	-20.8	eV/f.u.
spin magnetization	0.069	μB/atom

a = 7.718 Å, b = 7.722 Å, c = 8.396 Å
α = 117.45°, β = 90.00°, γ = 119.98°
Fractional coordinates of all 15 atoms:
1 Se 0.765 0.020 0.285
2 Se 0.744 0.980 0.715
3 Se 0.256 0.020 0.285
4 Se 0.260 0.520 0.281
5 Sc 0.500 0.500 0.500
6 Se 0.740 0.480 0.719
7 Se 0.235 0.471 0.715
8 Se 0.765 0.529 0.285
9 Nb 0.000 0.000 0.500
10 Na 0.000 0.500 0.000
11 Se 0.235 0.980 0.715
12 Sc 0.500 0.000 0.500
13 Sc 0.000 0.500 0.500
14 Na 0.000 0.000 0.000
15 Na 0.500 0.500 0.000

Which value of energy does entry 1 give?
-5.030 eV/atom

The highest energy belongs to which entry?
NiRuAu2

Please write out number 3 again, unchanged.
The following is a PBE calculation of a relaxed structure of CrGeC2S, from Alexandria via LeMat-Bulk.

Summary:
energy	-6.034	eV/atom
energy relative to the elements, uncorrected	6.6	eV/f.u.
spin magnetization	0.000	μB/atom

a = 3.705 Å, b = 5.383 Å, c = 3.705 Å
α = 90.00°, β = 90.00°, γ = 90.00°
Fractional coordinates of all 5 atoms:
1 Ge 0.000 0.500 0.000
2 C 0.500 0.000 0.000
3 C 0.000 0.000 0.500
4 S 0.500 0.500 0.500
5 Cr 0.000 0.000 0.000